Density functional theory data (PBE) for a relaxed structure of KHoCr2Cl8.

Calculated values
Its density of states at the Fermi level is 0.71 states/eV/cell. The uncorrected formation energy is -1.5063 eV/atom. The value obtained for the total magnetization is 8.0 μB per formula unit.

Structure (CIF):
```
data_KHoCr2Cl8
_space_group_name_H-M_alt 'P -1'
_space_group_IT_number 2
_space_group_name_Hall '-P 1'
_cell_length_a 6.428
_cell_length_b 6.452
_cell_length_c 8.809
_cell_angle_alpha 78.50
_cell_angle_beta 77.02
_cell_angle_gamma 79.53
loop_
_atom_site_label
_atom_site_fract_x
_atom_site_fract_y
_atom_site_fract_z
_atom_site_occupancy
K1 0.000 0.000 0.000 1
Ho1 0.000 0.000 0.500 1
Cr1 0.465 0.467 0.216 1
Cl1 0.217 0.776 0.715 1
Cl2 0.250 0.300 0.448 1
Cl3 0.262 0.818 0.270 1
Cl4 0.311 0.360 0.007 1
```